# 1
Below is crystalline ReOsSe2 at its relaxed geometry, with properties calculated at the PBE-GGA level.

Computed properties:
symmetry	Imm2 (44)

```
ReOsSe2
1.0
-2.379 -3.992 3.113
-1.124 -5.103 -1.996
3.722 4.003 1.187
Re Os Se
1 1 2
direct
0.259 0.759 0.500
0.491 0.491 0.000
0.728 0.228 0.500
0.021 0.021 0.000
```

# 2
Below is crystalline Re3OsSe at its relaxed geometry, with properties calculated at the PBE-GGA level.

Computed properties:
symmetry	Pm-3m (221)

```
Re3OsSe
1.0
4.740 0.000 0.000
0.000 4.740 0.000
0.000 0.000 4.740
Re Os Se
3 1 1
direct
0.000 0.000 0.500
0.500 0.000 0.000
0.000 0.500 0.000
0.000 0.000 0.000
0.500 0.500 0.500
```

# 3
Below is crystalline Re4OsSe2 at its relaxed geometry, with properties calculated at the PBE-GGA level.

Computed properties:
symmetry	I4/mmm (139)

```
Re4OsSe2
1.0
4.717 0.000 0.000
0.000 4.717 0.000
2.358 2.358 6.316
Se Os Re
2 1 4
direct
0.388 0.388 0.223
0.612 0.612 0.777
0.000 0.000 0.000
0.200 0.200 0.600
0.800 0.800 0.400
0.500 0.000 0.000
0.000 0.500 0.000
```

# 4
Below is crystalline ReOsSe2 at its relaxed geometry, with properties calculated at the PBE-GGA level.

Computed properties:
symmetry	R3m (160)

```
ReOsSe2
1.0
-6.691 -5.216 -5.021
-7.375 -6.149 -2.232
-8.567 -3.590 -3.302
Se Re Os
2 1 1
direct
0.225 0.225 0.225
0.025 0.025 0.025
0.753 0.753 0.753
0.497 0.497 0.497
```

Uncorrected formation energy readings, ordered: 0.74; 2.34; 1.90; 0.22 eV per atom
Ρ readings, ordered: 13.68; 12.90; 12.92; 11.58 Mg/m³